Entry 1:
# PBE CaLaCr2, optimized geometry
# DFT formation energy = 0.61 eV/atom
# Offset from the most stable computed form = 202 meV/atom
data_CaLaCr2
_chemical_formula_sum 'Ca1 La1 Cr2'
_symmetry_space_group_name_H-M 'P 4/m m m'
_symmetry_Int_Tables_number 123
_symmetry_space_group_name_Hall '-P 4 2'
_cell_length_a 3.753
_cell_length_b 3.753
_cell_length_c 7.525
_cell_angle_alpha 90.00
_cell_angle_beta 90.00
_cell_angle_gamma 90.00
loop_
_atom_site_label
_atom_site_type_symbol
_atom_site_fract_x
_atom_site_fract_y
_atom_site_fract_z
Ca1 Ca 0.000 0.000 0.000
La1 La 0.000 0.000 0.500
Cr1 Cr 0.500 0.500 0.258


Entry 2:
# PBE CaLa3Cr, optimized geometry
# DFT formation energy = 1.18 eV/atom
data_CaLa3Cr
_chemical_formula_sum 'Ca1 La3 Cr1'
_symmetry_space_group_name_H-M 'P m -3 m'
_symmetry_Int_Tables_number 221
_symmetry_space_group_name_Hall '-P 4 2 3'
_cell_length_a 5.826
_cell_length_b 5.826
_cell_length_c 5.826
_cell_angle_alpha 90.00
_cell_angle_beta 90.00
_cell_angle_gamma 90.00
loop_
_atom_site_label
_atom_site_type_symbol
_atom_site_fract_x
_atom_site_fract_y
_atom_site_fract_z
Ca1 Ca 0.000 0.000 0.000
La1 La 0.000 0.000 0.500
Cr1 Cr 0.500 0.500 0.500


Entry 3:
# PBE Ca2LaCr, optimized geometry
# DFT formation energy = 0.42 eV/atom
# Offset from the most stable computed form = 125 meV/atom
data_Ca2LaCr
_chemical_formula_sum 'Ca2 La1 Cr1'
_symmetry_space_group_name_H-M 'P 4/m m m'
_symmetry_Int_Tables_number 123
_symmetry_space_group_name_Hall '-P 4 2'
_cell_length_a 3.719
_cell_length_b 3.719
_cell_length_c 9.556
_cell_angle_alpha 90.00
_cell_angle_beta 90.00
_cell_angle_gamma 90.00
loop_
_atom_site_label
_atom_site_type_symbol
_atom_site_fract_x
_atom_site_fract_y
_atom_site_fract_z
Ca1 Ca 0.000 0.000 0.203
La1 La 0.500 0.500 0.500
Cr1 Cr 0.500 0.500 0.000


Entry 4:
# PBE Ca2LaCr, optimized geometry
# DFT formation energy = 0.91 eV/atom
# Offset from the most stable computed form = 620 meV/atom
data_Ca2LaCr
_chemical_formula_sum 'Ca8 La4 Cr4'
_symmetry_space_group_name_H-M 'F m -3 m'
_symmetry_Int_Tables_number 225
_symmetry_space_group_name_Hall '-F 4 2 3'
_cell_length_a 7.720
_cell_length_b 7.720
_cell_length_c 7.720
_cell_angle_alpha 90.00
_cell_angle_beta 90.00
_cell_angle_gamma 90.00
loop_
_atom_site_label
_atom_site_type_symbol
_atom_site_fract_x
_atom_site_fract_y
_atom_site_fract_z
Ca1 Ca 0.250 0.250 0.250
La1 La 0.000 0.000 0.000
Cr1 Cr 0.000 0.000 0.500


Entry 5:
# PBE CaLaCr, optimized geometry
# DFT formation energy = 0.38 eV/atom
# Offset from the most stable computed form = 0 meV/atom
data_CaLaCr
_chemical_formula_sum 'Ca2 La2 Cr2'
_symmetry_space_group_name_H-M 'I 4 m m'
_symmetry_Int_Tables_number 107
_symmetry_space_group_name_Hall 'I 4 -2'
_cell_length_a 3.739
_cell_length_b 3.739
_cell_length_c 13.044
_cell_angle_alpha 90.00
_cell_angle_beta 90.00
_cell_angle_gamma 90.00
loop_
_atom_site_label
_atom_site_type_symbol
_atom_site_fract_x
_atom_site_fract_y
_atom_site_fract_z
Ca1 Ca 0.000 0.000 0.000
La1 La 0.000 0.000 0.724
Cr1 Cr 0.000 0.000 0.354


Entry 6:
# PBE Ca2LaCr, optimized geometry
# DFT formation energy = 0.36 eV/atom
# Offset from the most stable computed form = 74 meV/atom
data_Ca2LaCr
_chemical_formula_sum 'Ca4 La2 Cr2'
_symmetry_space_group_name_H-M 'I m m m'
_symmetry_Int_Tables_number 71
_symmetry_space_group_name_Hall '-I 2 2'
_cell_length_a 3.885
_cell_length_b 5.665
_cell_length_c 11.806
_cell_angle_alpha 90.00
_cell_angle_beta 90.00
_cell_angle_gamma 90.00
loop_
_atom_site_label
_atom_site_type_symbol
_atom_site_fract_x
_atom_site_fract_y
_atom_site_fract_z
Ca1 Ca 0.000 0.000 0.212
La1 La 0.000 0.500 0.000
Cr1 Cr 0.000 0.500 0.500


Q: Which of these has the highest DFT formation energy?
A: CaLa3Cr